The following is a PBE with a Hubbard U calculation of a geometry-optimized SmCr2ReO8 structure, from Alexandria via LeMat-Bulk.

Geometry as POSCAR:
```
SmCr2ReO8
1.0
4.748 0.023 -0.003
0.061 4.745 -0.005
0.004 0.007 6.466
O Sm Cr Re
8 1 2 1
Direct
0.199 0.800 0.207
0.712 0.713 0.000
0.199 0.800 0.793
0.801 0.200 0.207
0.328 0.326 0.500
0.801 0.200 0.793
0.288 0.287 0.000
0.672 0.674 0.500
0.000 0.000 0.500
0.500 0.500 0.252
0.500 0.500 0.748
0.000 0.000 0.000
```

Output
Total magnetization: 5.997 μB/f.u.
Total energy: -7.999 eV/atom